Entry 1:
This record from Alexandria via LeMat-Bulk describes a relaxed Ca2GdH4 crystal. The functional is PBE.

Lattice parameters (Å, degrees): 6.9805 6.9805 6.9805 144.57 144.57 50.98
With the nearest neighbours (Å) after each atom.
Positions (direct):
Ca 0.1473 0.1473 0.0000  1 H 2.22
Ca 0.8527 0.8527 0.0000  1 H 2.22
Gd 0.5000 0.5000 0.0000  6 H 2.12-2.22
H 0.0000 0.5000 0.5000  2 Gd 2.12
H 0.3238 0.3238 0.0000  1 Gd 2.22, 1 Ca 2.22
H 0.5000 0.0000 0.5000  2 Gd 2.12
H 0.6762 0.6762 0.0000  1 Gd 2.22, 1 Ca 2.22

---

Entry 2:
This record from Alexandria via LeMat-Bulk describes a relaxed MgZnNi3 crystal. The functional is PBE.

Lattice parameters (Å, degrees): 4.3184 4.3184 4.3184 90.00 90.00 90.00
With the nearest neighbours (Å) after each atom.
Positions (direct):
Mg 0.0000 0.0000 0.0000  6 Ni 2.16
Zn 0.5000 0.5000 0.5000  12 Ni 3.05
Ni 0.0000 0.0000 0.5000  2 Mg 2.16
Ni 0.0000 0.5000 0.0000  2 Mg 2.16
Ni 0.5000 0.0000 0.0000  2 Mg 2.16

The calculation puts the energy above the most stable polymorph in this dataset at 1114 meV/atom.

---

Entry 3:
This record from Alexandria via LeMat-Bulk describes a relaxed Ho2MgRe crystal. The functional is PBE.

Lattice parameters (Å, degrees): 3.4472 3.4472 8.1505 90.00 90.00 90.00
With the nearest neighbours (Å) after each atom.
Positions (direct):
Ho 0.0000 0.0000 0.2017  4 Re 2.94, 1 Ho 3.29
Ho 0.0000 0.0000 0.7983  4 Re 2.94, 1 Ho 3.29
Mg 0.5000 0.5000 0.5000  8 Ho 3.44, 4 Mg 3.45
Re 0.5000 0.5000 0.0000  8 Ho 2.94

---

Entry 4:
This record from Alexandria via LeMat-Bulk describes a relaxed La15Pr4Tl crystal. The functional is PBE.

Lattice parameters (Å, degrees): 5.2122 5.2122 26.2974 90.00 90.00 90.00
With the nearest neighbours (Å) after each atom.
Positions (direct):
La 0.0000 0.0000 0.0000  8 La 3.63, 4 Tl 3.69
La 0.0000 0.0000 0.1978  4 Pr 3.69, 8 La 3.69-3.74
La 0.0000 0.0000 0.3995  4 Pr 3.69, 8 La 3.71-3.75
La 0.0000 0.0000 0.6005  4 Pr 3.69, 8 La 3.71-3.75
La 0.0000 0.0000 0.8022  4 Pr 3.69, 8 La 3.69-3.74
La 0.0000 0.5000 0.0961  2 Tl 3.63, 8 La 3.63-3.74, 2 Pr 3.72
La 0.0000 0.5000 0.2969  8 La 3.69-3.75, 4 Pr 3.70-3.75
La 0.0000 0.5000 0.5000  8 La 3.69-3.71, 4 Pr 3.71
La 0.0000 0.5000 0.7031  8 La 3.69-3.75, 4 Pr 3.70-3.75
La 0.0000 0.5000 0.9039  2 Tl 3.63, 8 La 3.63-3.74, 2 Pr 3.72
La 0.5000 0.0000 0.0961  2 Tl 3.63, 8 La 3.63-3.74, 2 Pr 3.72
La 0.5000 0.0000 0.2969  8 La 3.69-3.75, 4 Pr 3.70-3.75
La 0.5000 0.0000 0.5000  8 La 3.69-3.71, 4 Pr 3.71
La 0.5000 0.0000 0.7031  8 La 3.69-3.75, 4 Pr 3.70-3.75
La 0.5000 0.0000 0.9039  2 Tl 3.63, 8 La 3.63-3.74, 2 Pr 3.72
Pr 0.5000 0.5000 0.1968  12 La 3.69-3.72
Pr 0.5000 0.5000 0.3997  12 La 3.69-3.75
Pr 0.5000 0.5000 0.6003  12 La 3.69-3.75
Pr 0.5000 0.5000 0.8032  12 La 3.69-3.72
Tl 0.5000 0.5000 0.0000  12 La 3.63-3.69

---

Entry 5:
This record from Alexandria via LeMat-Bulk describes a relaxed TaTi2CuSi crystal. The functional is PBE.

Lattice parameters (Å, degrees): 4.7694 4.7694 4.8251 90.00 90.00 90.00
With the nearest neighbours (Å) after each atom.
Positions (direct):
Ta 0.0000 0.0000 0.0000  4 Ti 2.38, 2 Si 2.41
Ti 0.0000 0.5000 0.0000  2 Ta 2.38
Ti 0.5000 0.0000 0.0000  2 Ta 2.38
Cu 0.5000 0.5000 0.5000  4 Si 3.37, 8 Ti 3.39
Si 0.0000 0.0000 0.5000  2 Ta 2.41

---

Entry 6:
This record from Alexandria via LeMat-Bulk describes a relaxed Ac2NdClO4 crystal. The functional is PBE.

Lattice parameters (Å, degrees): 4.1450 4.1450 9.6304 90.00 90.00 90.00
With the nearest neighbours (Å) after each atom.
Positions (direct):
Ac 0.0000 0.0000 0.2322  4 O 2.36
Ac 0.0000 0.0000 0.7678  4 O 2.36
Nd 0.5000 0.5000 0.5000  8 O 2.53
Cl 0.5000 0.5000 0.0000  8 Ac 3.69, 8 O 3.95
O 0.0000 0.5000 0.3497  2 Ac 2.36, 2 Nd 2.53
O 0.0000 0.5000 0.6503  2 Ac 2.36, 2 Nd 2.53
O 0.5000 0.0000 0.3497  2 Ac 2.36, 2 Nd 2.53
O 0.5000 0.0000 0.6503  2 Ac 2.36, 2 Nd 2.53

---

Entry 7:
This record from Alexandria via LeMat-Bulk describes a relaxed Ca2CuNiC crystal. The functional is PBE.

Lattice parameters (Å, degrees): 5.0906 5.0906 3.6089 90.00 90.00 90.00
With the nearest neighbours (Å) after each atom.
Positions (direct):
Ca 0.0000 0.5000 0.0000  2 C 2.55
Ca 0.5000 0.0000 0.0000  2 C 2.55
Cu 0.0000 0.0000 0.5000  8 Ca 3.12
Ni 0.5000 0.5000 0.5000  2 C 1.80
C 0.5000 0.5000 0.0000  2 Ni 1.80

---

Entry 8:
This record from Alexandria via LeMat-Bulk describes a relaxed Te3Rh crystal. The functional is PBE.

Lattice parameters (Å, degrees): 5.0778 5.0778 5.0778 109.47 109.47 109.47
With the nearest neighbours (Å) after each atom.
Positions (direct):
Te 0.0000 0.5000 0.5000  4 Te 2.93, 2 Rh 2.93
Te 0.5000 0.0000 0.5000  4 Te 2.93, 2 Rh 2.93
Te 0.5000 0.5000 0.0000  4 Te 2.93, 2 Rh 2.93
Rh 0.0000 0.0000 0.0000  6 Te 2.93

---

Entry 9:
This record from Alexandria via LeMat-Bulk describes a relaxed Pu2PaGa2Cu2 crystal. The functional is PBE.

Lattice parameters (Å, degrees): 9.3871 9.3871 9.3871 24.68 24.68 24.68
With the nearest neighbours (Å) after each atom.
Positions (direct):
Pu 0.1492 0.1492 0.1492  3 Pu 2.50
Pu 0.8508 0.8508 0.8508  3 Pu 2.50
Pa 0.0000 0.0000 0.0000  6 Cu 2.99, 6 Ga 3.12
Ga 0.2569 0.2569 0.2569  3 Cu 2.32
Ga 0.7431 0.7431 0.7431  3 Cu 2.32
Cu 0.4025 0.4025 0.4025  3 Ga 2.32
Cu 0.5975 0.5975 0.5975  3 Ga 2.32

---

Entry 10:
This record from Alexandria via LeMat-Bulk describes a relaxed Ga3TcAs crystal. The functional is PBE.

Lattice parameters (Å, degrees): 4.8598 4.8598 4.8598 90.00 90.00 90.00
With the nearest neighbours (Å) after each atom.
Positions (direct):
Ga 0.0000 0.0000 0.5000  2 Tc 2.43
Ga 0.0000 0.5000 0.0000  2 Tc 2.43
Ga 0.5000 0.0000 0.0000  2 Tc 2.43
Tc 0.0000 0.0000 0.0000  6 Ga 2.43
As 0.5000 0.5000 0.5000  12 Ga 3.44

The calculation puts the energy above the most stable polymorph in this dataset at 0 meV/atom.

---

Entry 11:
This record from Alexandria via LeMat-Bulk describes a relaxed PaGa6Ni6 crystal. The functional is PBE.

Lattice parameters (Å, degrees): 6.5245 6.5245 6.5245 134.98 100.35 96.52
With the nearest neighbours (Å) after each atom.
Positions (direct):
Pa 0.0000 0.0000 0.0000  8 Ga 2.89-3.02, 4 Ni 3.15
Ga 0.1937 0.6937 0.5000  6 Ni 2.48-2.55
Ga 0.3459 0.0000 0.3459  1 Ga 2.58, 6 Ni 2.63-2.68
Ga 0.3481 0.3481 0.0000  6 Ni 2.58-2.62, 3 Ga 2.64-2.84
Ga 0.6519 0.6519 0.0000  6 Ni 2.58-2.62, 3 Ga 2.64-2.84
Ga 0.6541 0.0000 0.6541  1 Ga 2.58, 6 Ni 2.63-2.68
Ga 0.8063 0.3063 0.5000  6 Ni 2.48-2.55
Ni 0.0000 0.0000 0.5000  6 Ga 2.48-2.63, 4 Ni 2.50-2.51
Ni 0.0000 0.5000 0.0000  6 Ga 2.48-2.63, 4 Ni 2.50-2.51
Ni 0.2294 0.5000 0.7294  4 Ni 2.51, 6 Ga 2.55-2.68
Ni 0.5000 0.0000 0.0000  6 Ga 2.48-2.63, 4 Ni 2.50-2.51
Ni 0.5000 0.5000 0.5000  6 Ga 2.48-2.63, 4 Ni 2.50-2.51
Ni 0.7706 0.5000 0.2706  4 Ni 2.51, 6 Ga 2.55-2.68

---

Entry 12:
This record from Alexandria via LeMat-Bulk describes a relaxed Pm3PuSb4 crystal. The functional is PBE.

Lattice parameters (Å, degrees): 7.7481 7.7481 4.4835 90.00 90.00 109.47
With the nearest neighbours (Å) after each atom.
Positions (direct):
Pm 0.0000 0.0000 0.0000  6 Sb 3.19
Pm 0.0000 0.5000 0.5000  6 Sb 3.16-3.17
Pm 0.5000 0.0000 0.5000  6 Sb 3.16-3.17
Pu 0.5000 0.5000 0.0000  6 Sb 3.14
Sb 0.2521 0.7479 0.0000  1 Pu 3.14, 5 Pm 3.17-3.19
Sb 0.2541 0.2541 0.5000  2 Pu 3.14, 4 Pm 3.16-3.19
Sb 0.7459 0.7459 0.5000  2 Pu 3.14, 4 Pm 3.16-3.19
Sb 0.7479 0.2521 0.0000  1 Pu 3.14, 5 Pm 3.17-3.19

The calculation puts the energy above the most stable polymorph in this dataset at 0 meV/atom.

---

| no. | density of states at the Fermi level (states/eV/cell) | calculated total energy (eV for the cell shown) |
| --- | --- | --- |
| 1 | 2.9 | -33.59 |
| 2 | 0.8 | -15.04 |
| 3 | 5.0 | -23.07 |
| 4 | 30.8 | -96.13 |
| 5 | 4.7 | -31.59 |
| 6 | 0.0 | -60.19 |
| 7 | 2.9 | -23.33 |
| 8 | 0.8 | -16.43 |
| 9 | 11.7 | -52.51 |
| 10 | 2.9 | -21.65 |
| 11 | 8.6 | -67.71 |
| 12 | 16.6 | -53.33 |